[1]
Computed, not measured: a geometry-optimized Mg2CuBI structure at the PBE level of DFT.

Cell lengths 5.5688, 4.3835, 5.5688 Å; angles 90.00, 90.00, 90.00 degrees
Element x y z (fractional)
1 I 0.0000 0.0000 0.0000
2 Mg 0.0000 0.0000 0.5000
3 Mg 0.5000 0.0000 0.0000
4 B 0.0000 0.5000 0.0000
5 Cu 0.5000 0.5000 0.5000

Summary:
Its space group is P4/mmm, No. 123.

***

[2]
Computed, not measured: a geometry-optimized CuB2IN structure at the PBE level of DFT.

Cell lengths 3.6779, 6.1668, 3.6779 Å; angles 90.00, 90.00, 90.00 degrees
Each line ends with the local moment (μB).
Element x y z (fractional)
1 I 0.0000 0.5000 0.0000  0.04
2 B 0.0000 0.0000 0.5000  0.01
3 B 0.5000 0.0000 0.0000  0.00
4 Cu 0.0000 0.0000 0.0000  0.01
5 N 0.5000 0.5000 0.5000  0.44

Summary:
Its space group is P4/mmm, No. 123.

***

[3]
Computed, not measured: a geometry-optimized CuBI2N structure at the PBE level of DFT.

Cell lengths 5.5551, 5.5551, 3.7042 Å; angles 90.00, 90.00, 90.00 degrees
Each line ends with the local moment (μB).
Element x y z (fractional)
1 I 0.0000 0.5000 0.0000  0.13
2 I 0.5000 0.0000 0.0000  0.13
3 B 0.5000 0.5000 0.5000  0.00
4 Cu 0.0000 0.0000 0.0000  0.25
5 N 0.0000 0.0000 0.5000  1.05

Summary:
Its space group is P4/mmm, No. 123. As for the energy relative to the lowest polymorph listed for this composition: 1143.3 meV/atom.

***

no.,raw formation energy (meV per atom),volume (Å³ per cell)
1,1505,135.9
2,1954,83.4
3,1499,114.3